1.
First-principles (PBE) data for an optimized crystal structure of LaCeSnPb, as listed in Alexandria via LeMat-Bulk.

Calculated values
electronic total energy: -4.60 eV per atom
DOS(E_F): 2.118 states/eV per atom
calculated volume: 32.7 A^3/atom
formation energy from the elements: 43 meV per atom
space group: Pmmm, No. 47

The structure in CIF format:
```
data_LaCeSnPb
_cell_length_a 3.3131
_cell_length_b 6.2939
_cell_length_c 6.2647
_cell_angle_alpha 90.00
_cell_angle_beta 90.00
_cell_angle_gamma 90.00
_symmetry_space_group_name_H-M 'P 1'
_symmetry_Int_Tables_number 1
_symmetry_space_group_name_Hall 'P 1'
loop_
_atom_site_label
_atom_site_fract_x
_atom_site_fract_y
_atom_site_fract_z
Ce1 0.0000 0.0000 0.5000
Pb1 0.0000 0.0000 0.0000
Sn1 0.0000 0.5000 0.0000
La1 0.5000 0.5000 0.5000
```

=====

2.
First-principles (PBE) data for an optimized crystal structure of Ce2InHg2, as listed in Alexandria via LeMat-Bulk.

Calculated values
electronic total energy: -3.33 eV per atom
DOS(E_F): 3.080 states/eV per atom
calculated volume: 27.6 A^3/atom
formation energy from the elements: -285 meV per atom
space group: Fmmm, No. 69

The structure in CIF format:
```
data_Ce2InHg2
_cell_length_a 5.7285
_cell_length_b 10.5766
_cell_length_c 14.4833
_cell_angle_alpha 19.38
_cell_angle_beta 78.59
_cell_angle_gamma 74.29
_symmetry_space_group_name_H-M 'P 1'
_symmetry_Int_Tables_number 1
_symmetry_space_group_name_Hall 'P 1'
loop_
_atom_site_label
_atom_site_fract_x
_atom_site_fract_y
_atom_site_fract_z
Ce1 0.3541 0.8325 0.9588
In1 0.7498 0.2500 0.7500
In2 0.2502 0.7500 0.2500
Hg1 0.0481 0.5590 0.8454
Ce2 0.8546 0.3325 0.4588
Hg2 0.9519 0.4410 0.1546
Ce3 0.1454 0.6675 0.5412
Hg3 0.4525 0.9410 0.6546
Hg4 0.5475 0.0590 0.3454
Ce4 0.6459 0.1675 0.0412
```

=====

3.
First-principles (PBE) data for an optimized crystal structure of BaMnIr2, as listed in Alexandria via LeMat-Bulk.

Calculated values
electronic total energy: -6.57 eV per atom
DOS(E_F): 1.147 states/eV per atom
calculated volume: 19.2 A^3/atom
formation energy from the elements: 630 meV per atom
space group: Immm, No. 71

The structure in CIF format:
```
data_BaMnIr2
_cell_length_a 5.7599
_cell_length_b 5.7599
_cell_length_c 5.7599
_cell_angle_alpha 149.76
_cell_angle_beta 126.20
_cell_angle_gamma 62.97
_symmetry_space_group_name_H-M 'P 1'
_symmetry_Int_Tables_number 1
_symmetry_space_group_name_Hall 'P 1'
loop_
_atom_site_label
_atom_site_fract_x
_atom_site_fract_y
_atom_site_fract_z
Ir1 0.9657 0.9657 0.0000
Ir2 0.5343 0.5343 0.0000
Ba1 0.2500 0.7500 0.5000
Mn1 0.7500 0.2500 0.5000
```

=====

4.
First-principles (PBE) data for an optimized crystal structure of BePtW, as listed in Alexandria via LeMat-Bulk.

Calculated values
electronic total energy: -7.07 eV per atom
DOS(E_F): 0.000 states/eV per atom
calculated volume: 16.5 A^3/atom
formation energy from the elements: 504 meV per atom
space group: F-43m, No. 216

The structure in CIF format:
```
data_BePtW
_cell_length_a 4.1183
_cell_length_b 4.1183
_cell_length_c 4.1183
_cell_angle_alpha 60.00
_cell_angle_beta 60.00
_cell_angle_gamma 60.00
_symmetry_space_group_name_H-M 'P 1'
_symmetry_Int_Tables_number 1
_symmetry_space_group_name_Hall 'P 1'
loop_
_atom_site_label
_atom_site_fract_x
_atom_site_fract_y
_atom_site_fract_z
Be1 0.7500 0.7500 0.7500
Pt1 0.2500 0.2500 0.2500
W1 0.0000 0.0000 0.0000
```

=====

5.
First-principles (PBE) data for an optimized crystal structure of Sr2PuSb3, as listed in Alexandria via LeMat-Bulk.

Calculated values
electronic total energy: -5.73 eV per atom
DOS(E_F): 2.318 states/eV per atom
calculated volume: 35.2 A^3/atom
space group: Immm, No. 71
formation energy (no corrections): -16.571 kcal/mol of atoms

The structure in CIF format:
```
data_Sr2PuSb3
_cell_length_a 4.6039
_cell_length_b 6.4906
_cell_length_c 8.1086
_cell_angle_alpha 113.59
_cell_angle_beta 106.49
_cell_angle_gamma 90.00
_symmetry_space_group_name_H-M 'P 1'
_symmetry_Int_Tables_number 1
_symmetry_space_group_name_Hall 'P 1'
loop_
_atom_site_label
_atom_site_fract_x
_atom_site_fract_y
_atom_site_fract_z
Sr1 0.3254 0.8254 0.6508
Sr2 0.6746 0.1746 0.3492
Sb1 0.6458 0.6458 0.2917
Sb2 0.3542 0.3542 0.7083
Sb3 0.0000 0.0000 0.0000
Pu1 0.0000 0.5000 0.0000
```

=====

6.
First-principles (PBE) data for an optimized crystal structure of MnMo2Ir, as listed in Alexandria via LeMat-Bulk.

Calculated values
electronic total energy: -9.91 eV per atom
DOS(E_F): 1.201 states/eV per atom
calculated volume: 14.6 A^3/atom
formation energy from the elements: 15 meV per atom
space group: I-4m2, No. 119

The structure in CIF format:
```
data_MnMo2Ir
_cell_length_a 4.7538
_cell_length_b 4.7538
_cell_length_c 4.7538
_cell_angle_alpha 131.95
_cell_angle_beta 131.93
_cell_angle_gamma 70.32
_symmetry_space_group_name_H-M 'P 1'
_symmetry_Int_Tables_number 1
_symmetry_space_group_name_Hall 'P 1'
loop_
_atom_site_label
_atom_site_fract_x
_atom_site_fract_y
_atom_site_fract_z
Mo1 0.2500 0.7500 0.5000
Mn1 0.7500 0.2500 0.5000
Mo2 0.0000 0.0000 0.0000
Ir1 0.5000 0.5000 0.0000
```

=====

7.
First-principles (PBE) data for an optimized crystal structure of NaRuRh, as listed in Alexandria via LeMat-Bulk.

Calculated values
electronic total energy: -5.12 eV per atom
DOS(E_F): 1.333 states/eV per atom
calculated volume: 21.8 A^3/atom
formation energy from the elements: 866 meV per atom
space group: P-6m2, No. 187

The structure in CIF format:
```
data_NaRuRh
_cell_length_a 4.0919
_cell_length_b 4.0919
_cell_length_c 4.5110
_cell_angle_alpha 90.00
_cell_angle_beta 90.00
_cell_angle_gamma 120.00
_symmetry_space_group_name_H-M 'P 1'
_symmetry_Int_Tables_number 1
_symmetry_space_group_name_Hall 'P 1'
loop_
_atom_site_label
_atom_site_fract_x
_atom_site_fract_y
_atom_site_fract_z
Ru1 0.0000 0.0000 0.0000
Rh1 0.3333 0.6667 0.0000
Na1 0.6667 0.3333 0.5000
```

=====

8.
First-principles (PBE) data for an optimized crystal structure of AcPm2Ni, as listed in Alexandria via LeMat-Bulk.

Calculated values
electronic total energy: -4.92 eV per atom
DOS(E_F): 1.335 states/eV per atom
calculated volume: 32.5 A^3/atom
formation energy from the elements: -75 meV per atom
space group: R-3m, No. 166

The structure in CIF format:
```
data_AcPm2Ni
_cell_length_a 3.9791
_cell_length_b 3.9791
_cell_length_c 9.7669
_cell_angle_alpha 78.25
_cell_angle_beta 78.25
_cell_angle_gamma 60.00
_symmetry_space_group_name_H-M 'P 1'
_symmetry_Int_Tables_number 1
_symmetry_space_group_name_Hall 'P 1'
loop_
_atom_site_label
_atom_site_fract_x
_atom_site_fract_y
_atom_site_fract_z
Pm1 0.2783 0.2783 0.1650
Ac1 0.5000 0.5000 0.5000
Ni1 0.0000 0.0000 0.0000
Pm2 0.7217 0.7217 0.8350
```